1.
## Li2TcCl (GGA-PBEsol)

Data for a relaxed Li2TcCl crystal.

Properties
As for the crystal system: tetragonal. As for the calculated total energy: -0.2914 Ry/atom. The polymorph energy (0 for the lowest one) is 299 meV/atom. The calculation puts the formation energy from raw total energies at 0.337 eV/atom. The space group is I-4m2 (119).

a b c (Å): 5.0911 5.0911 5.0911
angles (deg): 139.53 139.53 58.57
Closest atoms and distances in Å follow each position.
Element x y z (fractional)
Li1 0.0000 0.0000 0.0000  4 Tc 2.49
Li2 0.7500 0.2500 0.5000  4 Cl 2.49
Tc1 0.5000 0.5000 0.0000  4 Li 2.49
Cl1 0.2500 0.7500 0.5000  4 Li 2.49

***

2.
## Cr3NiAg (GGA-PBEsol)

Data for a relaxed Cr3NiAg crystal.

Properties
As for the crystal system: cubic. As for the calculated total energy: -0.4913 Ry/atom. Its formation energy is 1354 meV/atom. The space group is Pm-3m (221).

a b c (Å): 4.4319 4.4319 4.4319
angles (deg): 90.00 90.00 90.00
Closest atoms and distances in Å follow each position.
Element x y z (fractional)
Cr1 0.0000 0.0000 0.5000  2 Ni 2.22
Cr2 0.0000 0.5000 0.0000  2 Ni 2.22
Cr3 0.5000 0.0000 0.0000  2 Ni 2.22
Ni1 0.0000 0.0000 0.0000  6 Cr 2.22
Ag1 0.5000 0.5000 0.5000  12 Cr 3.13

***

Please write out number 2 again, unchanged.
## Cr3NiAg (GGA-PBEsol)

Data for a relaxed Cr3NiAg crystal.

Properties
As for the crystal system: cubic. As for the calculated total energy: -0.4913 Ry/atom. Its formation energy is 1354 meV/atom. The space group is Pm-3m (221).

a b c (Å): 4.4319 4.4319 4.4319
angles (deg): 90.00 90.00 90.00
Closest atoms and distances in Å follow each position.
Element x y z (fractional)
Cr1 0.0000 0.0000 0.5000  2 Ni 2.22
Cr2 0.0000 0.5000 0.0000  2 Ni 2.22
Cr3 0.5000 0.0000 0.0000  2 Ni 2.22
Ni1 0.0000 0.0000 0.0000  6 Cr 2.22
Ag1 0.5000 0.5000 0.5000  12 Cr 3.13

***

Number 1 is which compound? Li2TcCl

***

The highest calculated total energy belongs to which entry? Li2TcCl